A:
Entry from Alexandria: GdLu2Tl after structural relaxation (GGA-PBE).

Computed properties:
DOS at the Fermi energy, states/eV/f.u.: 4.157
Magnetic moment, μB per formula unit: 7.38

Unit cell a=3.578 b=3.578 c=8.962 alpha=90.00 beta=90.00 gamma=90.00
Fractional positions:
Gd  0.000  0.000  0.000
Lu  0.500  0.500  0.272
Lu  0.500  0.500  0.728
Tl  0.000  0.000  0.500

B:
Entry from Alexandria: GdLu2Tl after structural relaxation (GGA-PBE).

Computed properties:
DOS at the Fermi energy, states/eV/f.u.: 6.546
Magnetic moment, μB per formula unit: 8.64

Unit cell a=5.390 b=5.390 c=5.390 alpha=60.00 beta=60.00 gamma=60.00
Fractional positions:
Gd  0.000  0.000  0.000
Lu  0.250  0.250  0.250
Lu  0.750  0.750  0.750
Tl  0.500  0.500  0.500

Stability, highest: A

A:
Entry from Alexandria: Gd2TmLu after structural relaxation (GGA-PBE).

Computed properties:
DOS at the Fermi energy, states/eV/f.u.: 7.695
Magnetic moment, μB per formula unit: 15.19

Unit cell a=5.615 b=5.615 c=5.615 alpha=60.00 beta=60.00 gamma=60.00
Fractional positions:
Gd  0.250  0.250  0.250
Gd  0.750  0.750  0.750
Tm  0.000  0.000  0.000
Lu  0.500  0.500  0.500

B:
Entry from Alexandria: Gd2TmLu after structural relaxation (GGA-PBE).

Computed properties:
DOS at the Fermi energy, states/eV/f.u.: 6.435
Magnetic moment, μB per formula unit: 14.53

Unit cell a=11.629 b=11.629 c=11.629 alpha=17.45 beta=17.45 gamma=17.45
Fractional positions:
Gd  0.250  0.250  0.250
Gd  0.750  0.750  0.750
Tm  0.500  0.500  0.500
Lu  0.000  0.000  0.000

Stability, highest: B